DFT (GGA-PBE) results for a relaxed structure of Nb2CdNi.

Cell lengths 2.8420, 2.8420, 31.0099 Å; angles 90.00, 90.00, 120.00 degrees
Space group R-3m (No. 166, hexagonal axes)
Inequivalent atoms, fractional coordinates:
Nb  0.0000  0.0000  0.0973 (multiplicity 6)
Cd  0.0000  0.0000  0.0000 (multiplicity 3)
Ni  0.0000  0.0000  0.5000 (multiplicity 3)

Summary:
As for the mass density: 8.20 Mg/m³. The formation energy is 0.38 eV per atom. As for the calculated volume: 18.1 A^3/atom.